Entry 1:
Compound: K4HoU3O12
Source: Alexandria
Functional: PBE-GGA
Structure: relaxed

Results
formation energy from raw total energies: -2926 meV/atom
M_tot: 2.01 μB per cell
V: 643.3 Å³ per cell

a b c (Å): 8.6326 8.6326 8.6326
angles (deg): 90.00 90.00 90.00
Closest atoms and distances in Å follow each position.
Space group Im-3m (No. 229)
One atom of each set of equivalent atoms:
K 0.2500 0.2500 0.2500 (multiplicity 8)  12 O 3.05
Ho 0.0000 0.0000 0.0000 (multiplicity 2)  6 O 2.28
U 0.0000 0.0000 0.5000 (multiplicity 6)  6 O 2.04-2.16
O 0.0000 0.0000 0.2642 (multiplicity 12)  1 U 2.04
O 0.0000 0.2500 0.5000 (multiplicity 12)  2 U 2.16

Entry 2:
Compound: K2HoUO6
Source: Alexandria
Functional: PBE-GGA
Structure: relaxed

Results
formation energy from raw total energies: -2696 meV/atom
M_tot: 3.94 μB per cell
V: 648.6 Å³ per cell

a b c (Å): 8.6561 8.6561 8.6561
angles (deg): 90.00 90.00 90.00
Closest atoms and distances in Å follow each position.
Space group Fm-3m (No. 225)
One atom of each set of equivalent atoms:
K 0.2500 0.2500 0.2500 (multiplicity 8)  12 O 3.06
Ho 0.0000 0.0000 0.0000 (multiplicity 4)  6 O 2.25
U 0.0000 0.0000 0.5000 (multiplicity 4)  6 O 2.08
O 0.0000 0.0000 0.2600 (multiplicity 24)  1 U 2.08, 1 Ho 2.25

Entry 3:
Compound: K3Ho3UO8
Source: Alexandria
Functional: PBE-GGA
Structure: relaxed

Results
formation energy from raw total energies: -2844 meV/atom
M_tot: 6.00 μB per cell
V: 795.8 Å³ per cell

a b c (Å): 6.9461 6.9461 19.0444
angles (deg): 90.00 90.00 120.00
Closest atoms and distances in Å follow each position.
Space group R-3m (No. 166, hexagonal axes)
One atom of each set of equivalent atoms:
K 0.0000 0.5000 0.0000 (multiplicity 9)  6 O 2.86
Ho 0.0000 0.5000 0.5000 (multiplicity 9)  6 O 2.31
U 0.0000 0.0000 0.5000 (multiplicity 3)  6 O 2.25
O 0.0000 0.0000 0.2264 (multiplicity 6)  3 Ho 2.31
O 0.0083 0.5042 0.2249 (multiplicity 18)  1 U 2.25, 2 Ho 2.31